Entry 1:
Density functional theory data (GGA-PBE) for a relaxed structure of Ac3Al2Sn2Ge4.

Cell: 4.831 4.831 25.086 Å, 90.00 90.00 90.00°
Space group I4/mmm (No. 139)
Unique sites:
Ac: 0.000 0.000 0.000 x2
Ac: 0.000 0.000 0.185 x4
Al: 0.000 0.000 0.448 x4
Sn: 0.000 0.000 0.321 x4
Ge: 0.000 0.500 0.097 x8

- Magnetic moment: 0.00 μB per atom
- Crystal system: tetragonal
- Formation energy: -396 meV per atom

Entry 2:
Density functional theory data (GGA-PBE) for a relaxed structure of Cu2PdCl6.

Cell: 11.757 10.817 6.614 Å, 90.00 98.16 90.00°
Space group C2/c (No. 15)
Unique sites:
Cu: 0.175 0.090 0.315 x8
Pd: 0.000 0.410 0.250 x4
Cl: 0.116 0.432 0.605 x8
Cl: 0.117 0.255 0.127 x8
Cl: 0.135 0.082 0.634 x8

- Magnetic moment: 0.00 μB per atom
- Crystal system: monoclinic
- Energy relative to the lowest polymorph listed for this composition: 0.33 eV per formula unit